# RbLaMnWO6

RbLaMnWO6 after structural relaxation (PBE+U, the Alexandria database).

abc: 5.770 5.789 8.335
angles: 90.00 90.48 90.00
Space group P2_1 (No. 4)
Symmetry-distinct sites (fractional):
1 Rb 0.244 0.000 0.001 [2 per cell]
2 La 0.245 0.041 0.500 [2 per cell]
3 Mn 0.255 0.512 0.755 [2 per cell]
4 W 0.243 0.507 0.255 [2 per cell]
5 O 0.014 0.218 0.744 [2 per cell]
6 O 0.041 0.239 0.254 [2 per cell]
7 O 0.181 0.486 0.497 [2 per cell]
8 O 0.280 0.508 0.031 [2 per cell]
9 O 0.463 0.761 0.307 [2 per cell]
10 O 0.495 0.792 0.693 [2 per cell]

**E**: -148.12 eV/cell